(1)
First-principles (PBE) data for LiInH2 after structural relaxation, as listed in Alexandria via LeMat-Bulk.

## Properties
**Calculated volume**: 12.291 Å³ per atom
**D(E_F)**: 0.295 states/eV/atom
**ΔE to the lowest computed polymorph**: 349 meV per atom

Lattice parameters (Å, degrees): 4.112 4.112 4.112 60.00 60.00 60.00
Atoms (fractional coordinates):
H: 0.250 0.250 0.250
H: 0.750 0.750 0.750
Li: 0.000 0.000 0.000
In: 0.500 0.500 0.500

(2)
First-principles (PBE) data for MgInNi2 after structural relaxation, as listed in Alexandria via LeMat-Bulk.

## Properties
**Calculated volume**: 16.431 Å³ per atom
**D(E_F)**: 0.410 states/eV/atom
**Formation energy**: 212 meV per atom

Lattice parameters (Å, degrees): 6.888 6.888 5.603 52.08 52.08 90.00
Atoms (fractional coordinates):
Ni: 0.623 0.125 0.250
Ni: 0.127 0.625 0.250
Ni: 0.375 0.377 0.750
Ni: 0.875 0.873 0.750
Mg: 0.500 0.500 0.000
Mg: 0.250 0.750 0.500
In: 0.000 0.000 0.000
In: 0.750 0.250 0.500

(3)
First-principles (PBE) data for ReAgPtBr2 after structural relaxation, as listed in Alexandria via LeMat-Bulk.

## Properties
**Calculated volume**: 24.942 Å³ per atom
**D(E_F)**: 0.919 states/eV/atom
**ΔE_f (raw)**: 0.864 eV per atom

Lattice parameters (Å, degrees): 5.021 4.948 5.021 90.00 90.00 90.00
Atoms (fractional coordinates):
Re: 0.000 0.000 0.000
Br: 0.000 0.000 0.500
Br: 0.500 0.000 0.000
Ag: 0.500 0.500 0.500
Pt: 0.000 0.500 0.000

(4)
First-principles (PBE) data for CuS2BrN after structural relaxation, as listed in Alexandria via LeMat-Bulk.

## Properties
**Calculated volume**: 17.068 Å³ per atom
**D(E_F)**: 0.694 states/eV/atom
**ΔE to the lowest computed polymorph**: 0 meV per atom
**ΔE_f (raw)**: 1.211 eV per atom

Lattice parameters (Å, degrees): 4.794 4.794 3.713 90.00 90.00 90.00
Atoms (fractional coordinates):
S: 0.000 0.500 0.000
S: 0.500 0.000 0.000
Cu: 0.000 0.000 0.000
Br: 0.500 0.500 0.500
N: 0.000 0.000 0.500

(5)
First-principles (PBE) data for PuGa2PbO8 after structural relaxation, as listed in Alexandria via LeMat-Bulk.

## Properties
**Calculated volume**: 12.415 Å³ per atom
**D(E_F)**: 0.340 states/eV/atom
**ΔE_f (raw)**: -1.697 eV per atom

Lattice parameters (Å, degrees): 4.793 4.792 6.489 90.00 90.00 91.36
Atoms (fractional coordinates):
Pu: 0.000 0.000 0.000
Ga: 0.500 0.500 0.747
Ga: 0.500 0.500 0.253
Pb: 0.000 0.000 0.500
O: 0.207 0.792 0.233
O: 0.690 0.690 0.000
O: 0.793 0.208 0.233
O: 0.793 0.208 0.767
O: 0.310 0.310 0.000
O: 0.207 0.792 0.767
O: 0.682 0.682 0.500
O: 0.318 0.318 0.500

(6)
First-principles (PBE) data for Hf2ZnCrH after structural relaxation, as listed in Alexandria via LeMat-Bulk.

## Properties
**Calculated volume**: 14.170 Å³ per atom
**D(E_F)**: 1.026 states/eV/atom
**ΔE to the lowest computed polymorph**: 0 meV per atom

Lattice parameters (Å, degrees): 4.514 4.514 3.478 90.00 90.00 90.00
Atoms (fractional coordinates):
Cr: 0.000 0.000 0.500
Zn: 0.500 0.500 0.500
Hf: 0.000 0.500 0.000
Hf: 0.500 0.000 0.000
H: 0.000 0.000 0.000

(7)
First-principles (PBE) data for Ti2AuN after structural relaxation, as listed in Alexandria via LeMat-Bulk.

## Properties
**Calculated volume**: 13.591 Å³ per atom
**D(E_F)**: 0.323 states/eV/atom
**ΔE_f (raw)**: -1.092 eV per atom

Lattice parameters (Å, degrees): 3.034 3.034 7.040 77.55 77.55 60.00
Atoms (fractional coordinates):
Ti: 0.055 0.055 0.835
Ti: 0.278 0.278 0.167
Au: 0.499 0.499 0.502
N: 0.668 0.668 0.996

(8)
First-principles (PBE) data for KNdPbCl6 after structural relaxation, as listed in Alexandria via LeMat-Bulk.

## Properties
**Calculated volume**: 34.927 Å³ per atom
**D(E_F)**: 0.000 states/eV/atom
**ΔE_f (raw)**: -1.840 eV per atom

Lattice parameters (Å, degrees): 6.860 6.860 13.358 90.00 90.00 90.00
Atoms (fractional coordinates):
K: 0.500 0.500 0.499
K: 0.000 0.000 0.999
Nd: 0.500 0.500 0.833
Nd: 0.000 0.000 0.333
Pb: 0.500 0.500 0.167
Pb: 0.000 0.000 0.667
Cl: 0.181 0.819 0.493
Cl: 0.819 0.181 0.493
Cl: 0.319 0.319 0.993
Cl: 0.681 0.681 0.993
Cl: 0.199 0.801 0.185
Cl: 0.801 0.199 0.185
Cl: 0.301 0.301 0.685
Cl: 0.699 0.699 0.685
Cl: 0.785 0.215 0.822
Cl: 0.215 0.785 0.822
Cl: 0.715 0.715 0.322
Cl: 0.285 0.285 0.322

(9)
First-principles (PBE) data for Sr5CaTl3 after structural relaxation, as listed in Alexandria via LeMat-Bulk.

## Properties
**Calculated volume**: 37.762 Å³ per atom
**D(E_F)**: 1.612 states/eV/atom
**Formation energy**: -271 meV per atom

Lattice parameters (Å, degrees): 7.525 10.213 10.212 120.00 90.00 90.00
Atoms (fractional coordinates):
Sr: 0.000 0.667 0.333
Sr: 0.500 0.333 0.667
Sr: 0.000 0.333 0.667
Sr: 0.500 0.667 0.333
Sr: 0.750 0.673 0.673
Sr: 0.750 0.000 0.327
Sr: 0.750 0.327 0.000
Sr: 0.250 0.327 0.327
Sr: 0.250 0.000 0.673
Sr: 0.250 0.673 0.000
Ca: 0.000 0.000 0.000
Ca: 0.500 0.000 0.000
Tl: 0.750 0.335 0.335
Tl: 0.750 0.000 0.665
Tl: 0.750 0.665 0.000
Tl: 0.250 0.665 0.665
Tl: 0.250 0.000 0.335
Tl: 0.250 0.335 0.000

(10)
First-principles (PBE) data for YCrS2N after structural relaxation, as listed in Alexandria via LeMat-Bulk.

## Properties
**Calculated volume**: 24.219 Å³ per atom
**D(E_F)**: 0.560 states/eV/atom
**ΔE to the lowest computed polymorph**: 1156 meV per atom
**ΔE_f (raw)**: 0.308 eV per atom

Lattice parameters (Å, degrees): 5.250 5.250 4.394 90.00 90.00 90.00
Atoms (fractional coordinates):
Y: 0.000 0.000 0.000
Cr: 0.500 0.500 0.500
S: 0.000 0.500 0.000
S: 0.500 0.000 0.000
N: 0.000 0.000 0.500

(11)
First-principles (PBE) data for BaScOs2 after structural relaxation, as listed in Alexandria via LeMat-Bulk.

## Properties
**Calculated volume**: 20.508 Å³ per atom
**D(E_F)**: 0.852 states/eV/atom
**Formation energy**: 869 meV per atom
**ΔE to the lowest computed polymorph**: 736 meV per atom

Lattice parameters (Å, degrees): 4.877 4.877 4.877 60.00 60.00 60.00
Atoms (fractional coordinates):
Sc: 0.000 0.000 0.000
Os: 0.250 0.250 0.250
Os: 0.750 0.750 0.750
Ba: 0.500 0.500 0.500

(12)
First-principles (PBE) data for MgHg2RhAu after structural relaxation, as listed in Alexandria via LeMat-Bulk.

## Properties
**Calculated volume**: 27.366 Å³ per atom
**D(E_F)**: 0.698 states/eV/atom
**Formation energy**: 386 meV per atom

Lattice parameters (Å, degrees): 5.152 5.156 5.152 90.00 90.00 90.00
Atoms (fractional coordinates):
Rh: 0.000 0.000 0.000
Mg: 0.500 0.500 0.500
Au: 0.000 0.500 0.000
Hg: 0.000 0.000 0.500
Hg: 0.500 0.000 0.000